# BaFe2Re

A relaxed structure of BaFe2Re (PBE-GGA, Alexandria).

Results
* D(E_F): 4.97 states/eV per cell
* ΔE_f: 1.46 eV/atom
* crystal system: orthorhombic
* magnetization: 5.7 μB/cell
* space group: Pmmm (47)

POSCAR file:
```
BaFe2Re
1.0
3.217 0.000 0.000
0.000 4.932 0.000
0.000 0.000 4.601
Ba Re Fe
1 1 2
Direct
0.000 0.500 0.500
0.500 0.000 0.500
0.500 0.500 0.000
0.000 0.000 0.000
```

---

# Dy4GePS2

A relaxed structure of Dy4GePS2 (PBE-GGA, Alexandria).

Results
* D(E_F): 1.40 states/eV per cell
* crystal system: monoclinic
* uncorrected energy: -50.093 eV/cell
* magnetization: 0.0 μB/cell
* space group: P2/m (10)

POSCAR file:
```
Dy4GePS2
1.0
4.011 0.000 0.000
0.000 6.925 -0.132
0.000 2.443 6.503
Dy S P Ge
4 2 1 1
Direct
0.000 0.253 0.251
0.500 0.743 0.254
0.500 0.257 0.746
0.000 0.747 0.749
0.500 0.000 0.500
0.000 0.000 0.000
0.000 0.500 0.500
0.500 0.500 0.000
```

---

# Cd2Pd2Au

A relaxed structure of Cd2Pd2Au (PBE-GGA, Alexandria).

Results
* D(E_F): 3.23 states/eV per cell
* ΔE_f: -0.18 eV/atom
* crystal system: tetragonal
* magnetization: 0.0 μB/cell
* space group: P4/mbm (127)

POSCAR file:
```
Cd2Pd2Au
1.0
-1.456 6.740 3.716
-6.258 -3.238 3.422
1.733 -0.902 2.316
Pd Au Cd
4 2 4
Direct
0.363 0.137 0.500
0.637 0.863 0.500
0.863 0.363 0.500
0.137 0.637 0.500
0.500 0.500 0.000
0.000 0.000 0.000
0.659 0.159 0.000
0.159 0.341 0.000
0.841 0.659 0.000
0.341 0.841 0.000
```

---

# Li14Mn2S9

A relaxed structure of Li14Mn2S9 (PBE-GGA, Alexandria).

Results
* D(E_F): 0.00 states/eV per cell
* crystal system: trigonal
* uncorrected energy: -112.594 eV/cell
* magnetization: 10.0 μB/cell
* space group: P-3 (147)

POSCAR file:
```
Li14Mn2S9
1.0
7.064 0.000 0.000
-3.532 6.117 0.000
0.000 0.000 9.904
Li S Mn
14 9 2
Direct
0.654 0.979 0.411
0.000 0.000 0.250
0.962 0.638 0.910
0.362 0.324 0.910
0.346 0.021 0.589
0.038 0.362 0.090
0.324 0.962 0.090
0.000 0.000 0.750
0.979 0.325 0.589
0.325 0.346 0.411
0.638 0.676 0.090
0.675 0.654 0.589
0.676 0.038 0.910
0.021 0.675 0.411
0.662 0.689 0.838
0.667 0.333 0.485
0.000 0.000 0.500
0.338 0.311 0.162
0.311 0.973 0.838
0.689 0.027 0.162
0.973 0.662 0.162
0.333 0.667 0.515
0.027 0.338 0.838
0.667 0.333 0.244
0.333 0.667 0.756
```

---

# SrScBe2

A relaxed structure of SrScBe2 (PBE-GGA, Alexandria).

Results
* D(E_F): 4.29 states/eV per cell
* ΔE_f: 0.30 eV/atom
* crystal system: monoclinic
* magnetization: 0.0 μB/cell
* space group: Pm (6)

POSCAR file:
```
SrScBe2
1.0
-0.642 -2.434 -3.073
1.635 -2.638 1.748
-4.679 -3.043 3.388
Be Sc Sr
2 1 1
Direct
0.500 0.069 0.237
0.000 0.147 0.079
0.000 0.503 0.371
0.500 0.781 0.813
```

---

# YSiNi3

A relaxed structure of YSiNi3 (PBE-GGA, Alexandria).

Results
* D(E_F): 3.95 states/eV per cell
* crystal system: cubic
* uncorrected energy: -30.676 eV/cell
* magnetization: 0.0 μB/cell
* space group: Pm-3m (221)

POSCAR file:
```
YSiNi3
1.0
-1.215 0.884 -4.041
3.751 -1.541 -1.465
-1.745 -3.929 -0.335
Y Ni Si
1 3 1
Direct
0.500 0.500 0.500
0.000 0.000 0.500
0.500 0.000 0.000
0.000 0.500 0.000
0.000 0.000 0.000
```

---

# Ta4TcW2

A relaxed structure of Ta4TcW2 (PBE-GGA, Alexandria).

Results
* D(E_F): 7.08 states/eV per cell
* ΔE_f: 0.15 eV/atom
* crystal system: tetragonal
* magnetization: 0.0 μB/cell
* space group: I4/mmm (139)

POSCAR file:
```
Ta4TcW2
1.0
5.202 -0.002 -1.832
-2.594 4.501 -1.852
-0.001 0.002 5.515
Ta W Tc
4 2 1
Direct
0.000 0.500 0.000
0.500 0.500 0.500
0.500 0.000 0.000
0.000 0.000 0.500
0.500 0.000 0.500
0.500 0.500 0.000
0.000 0.000 0.000
```

---

# BaScBe2

A relaxed structure of BaScBe2 (PBE-GGA, Alexandria).

Results
* D(E_F): 9.35 states/eV per cell
* ΔE_f: 0.90 eV/atom
* crystal system: tetragonal
* magnetization: 0.0 μB/cell
* space group: I-42d (122)

POSCAR file:
```
BaScBe2
1.0
-2.723 5.956 -4.228
-7.222 -2.870 0.608
-5.457 3.376 1.084
Be Ba Sc
4 2 2
Direct
0.565 0.125 0.250
0.185 0.625 0.250
0.875 0.815 0.750
0.375 0.435 0.750
0.000 0.000 0.000
0.750 0.250 0.500
0.250 0.750 0.500
0.500 0.500 0.000
```

---

# AsP2Pb

A relaxed structure of AsP2Pb (PBE-GGA, Alexandria).

Results
* D(E_F): 1.98 states/eV per cell
* ΔE_f: 0.38 eV/atom
* crystal system: orthorhombic
* magnetization: 0.0 μB/cell
* space group: Cmm2 (35)

POSCAR file:
```
AsP2Pb
1.0
3.145 0.542 0.000
-0.691 3.115 0.000
0.000 0.000 8.455
Pb As P
1 1 2
Direct
0.000 0.000 0.497
0.500 0.500 0.759
0.000 0.000 0.076
0.500 0.500 0.168
```

---

# ZnCd

A relaxed structure of ZnCd (PBE-GGA, Alexandria).

Results
* D(E_F): 0.53 states/eV per cell
* ΔE_f: 0.06 eV/atom
* crystal system: triclinic
* magnetization: 0.0 μB/cell
* space group: P-1 (2)

POSCAR file:
```
ZnCd
1.0
2.810 0.021 -0.121
1.369 5.712 0.361
0.196 2.358 5.061
Zn Cd
2 2
Direct
0.140 0.720 0.873
0.860 0.280 0.127
0.388 0.223 0.650
0.612 0.777 0.350
```

---

# CoTcAs2Ir

A relaxed structure of CoTcAs2Ir (PBE-GGA, Alexandria).

Results
* D(E_F): 5.94 states/eV per cell
* ΔE_f: 1.27 eV/atom
* crystal system: tetragonal
* magnetization: 2.3 μB/cell
* space group: P4/mmm (123)

POSCAR file:
```
CoTcAs2Ir
1.0
4.690 0.000 0.000
0.000 4.817 0.000
0.000 0.000 4.690
As Co Tc Ir
2 1 1 1
Direct
0.000 0.000 0.500
0.500 0.000 0.000
0.500 0.500 0.500
0.000 0.000 0.000
0.000 0.500 0.000
```

---

# PPbO3

A relaxed structure of PPbO3 (PBE-GGA, Alexandria).

Results
* D(E_F): 0.16 states/eV per cell
* crystal system: monoclinic
* uncorrected energy: -126.008 eV/cell
* magnetization: 4.0 μB/cell
* space group: P2_1/c (14)

POSCAR file:
```
PPbO3
1.0
-3.693 -2.051 -5.596
-6.804 -1.959 5.207
0.053 6.376 -2.371
P O Pb
4 12 4
Direct
0.724 0.600 0.904
0.776 0.100 0.404
0.224 0.900 0.596
0.276 0.400 0.096
0.095 0.975 0.803
0.597 0.172 0.338
0.903 0.672 0.838
0.743 0.983 0.516
0.243 0.517 0.984
0.905 0.025 0.197
0.405 0.475 0.303
0.403 0.828 0.662
0.257 0.017 0.484
0.757 0.483 0.016
0.595 0.525 0.697
0.097 0.328 0.162
0.335 0.329 0.541
0.835 0.171 0.959
0.165 0.829 0.041
0.665 0.671 0.459
```

---

| no. | mass density (g/cm³) |
| --- | --- |
| 1 | 9.90 |
| 2 | 7.46 |
| 3 | 11.34 |
| 4 | 1.92 |
| 5 | 2.81 |
| 6 | 6.07 |
| 7 | 15.29 |
| 8 | 3.16 |
| 9 | 6.64 |
| 10 | 7.53 |
| 11 | 7.82 |
| 12 | 5.00 |